Compound: Tb2HoCrN4
Source: Alexandria via LeMat-Bulk
Functional: GGA-PBE
Structure: optimized geometry

abc: 3.368 5.937 11.727
angles: 90.00 90.00 106.48
Sites, in units of the cell vectors:
N (0.435, 0.869, 0.750)
N (0.269, 0.538, 0.366)
N (0.731, 0.462, 0.634)
N (0.269, 0.538, 0.134)
N (0.731, 0.462, 0.866)
N (0.565, 0.131, 0.250)
N (0.000, 0.000, 0.500)
N (0.000, 0.000, 0.000)
Ho (0.887, 0.774, 0.250)
Ho (0.113, 0.226, 0.750)
Cr (0.156, 0.312, 0.250)
Cr (0.844, 0.688, 0.750)
Tb (0.368, 0.737, 0.957)
Tb (0.632, 0.263, 0.043)
Tb (0.632, 0.263, 0.457)
Tb (0.368, 0.737, 0.543)

Calculated values
Uncorrected energy, eV/atom: -8.289
Formation energy (no corrections), eV per atom: -1.193
D(E_F), states/eV per atom: 0.378

=====

Compound: Pm4Pr3Pb2
Source: Alexandria via LeMat-Bulk
Functional: GGA-PBE
Structure: optimized geometry

abc: 5.048 7.810 8.376
angles: 105.56 90.00 108.85
Sites, in units of the cell vectors:
Pm (0.129, 0.258, 0.653)
Pm (0.335, 0.669, 0.024)
Pm (0.665, 0.331, 0.976)
Pm (0.871, 0.742, 0.347)
Pb (0.785, 0.570, 0.701)
Pb (0.215, 0.430, 0.299)
Pr (0.427, 0.855, 0.660)
Pr (0.000, 0.000, 0.000)
Pr (0.573, 0.145, 0.340)

Calculated values
Uncorrected energy, eV/atom: -4.762
D(E_F), states/eV per atom: 1.307
DFT formation energy, eV per formula unit: -2.1

=====

Compound: Mg2CrFe
Source: Alexandria via LeMat-Bulk
Functional: GGA-PBE
Structure: optimized geometry

abc: 4.435 4.435 4.435
angles: 120.06 120.06 89.89
Sites, in units of the cell vectors:
Fe (0.750, 0.250, 0.500)
Cr (0.500, 0.500, 0.000)
Mg (0.000, 0.000, 0.000)
Mg (0.250, 0.750, 0.500)

Calculated values
Uncorrected energy, eV/atom: -4.966
D(E_F), states/eV per atom: 0.405
DFT formation energy, eV per formula unit: 1.4
Energy above the most stable polymorph in this dataset, eV per atom: 0.159

=====

Compound: InOs2Br
Source: Alexandria via LeMat-Bulk
Functional: GGA-PBE
Structure: optimized geometry

abc: 2.920 5.090 4.704
angles: 90.00 90.00 90.00
Sites, in units of the cell vectors:
Os (0.000, 0.000, 0.000)
Os (0.500, 0.500, 0.000)
Br (0.500, 0.000, 0.500)
In (0.000, 0.500, 0.500)

Calculated values
Uncorrected energy, eV/atom: -5.612
Formation energy (no corrections), eV per atom: 1.106
D(E_F), states/eV per atom: 0.965
Energy above the most stable polymorph in this dataset, eV per atom: 0.638

=====

Compound: CaMgIr2
Source: Alexandria via LeMat-Bulk
Functional: GGA-PBE
Structure: optimized geometry

abc: 2.898 3.979 6.231
angles: 90.00 90.00 90.00
Sites, in units of the cell vectors:
Mg (0.500, 0.500, 0.250)
Ir (0.000, 0.000, 0.040)
Ir (0.000, 0.000, 0.460)
Ca (0.500, 0.500, 0.750)

Calculated values
Uncorrected energy, eV/atom: -5.458
D(E_F), states/eV per atom: 0.911
DFT formation energy, eV per formula unit: -0.5

=====

Compound: KRuRh2
Source: Alexandria via LeMat-Bulk
Functional: GGA-PBE
Structure: optimized geometry

abc: 2.749 2.749 10.167
angles: 90.00 90.00 118.44
Sites, in units of the cell vectors:
Rh (0.000, 0.000, 0.027)
Rh (0.500, 0.500, 0.251)
Ru (0.000, 0.000, 0.467)
K (0.500, 0.500, 0.755)

Calculated values
Uncorrected energy, eV/atom: -5.534
D(E_F), states/eV per atom: 1.429
DFT formation energy, eV per formula unit: 2.9
Energy above the most stable polymorph in this dataset, eV per atom: 0.301

=====

Compound: NaFePd3
Source: Alexandria via LeMat-Bulk
Functional: GGA-PBE
Structure: optimized geometry

abc: 4.695 4.695 4.695
angles: 90.00 90.00 90.00
Sites, in units of the cell vectors:
Fe (0.000, 0.000, 0.000)
Pd (0.000, 0.000, 0.500)
Pd (0.500, 0.000, 0.000)
Pd (0.000, 0.500, 0.000)
Na (0.500, 0.500, 0.500)

Calculated values
Uncorrected energy, eV/atom: -4.650
D(E_F), states/eV per atom: 0.629
DFT formation energy, eV per formula unit: 2.1
Energy above the most stable polymorph in this dataset, eV per atom: 0.000

=====

Compound: SrAcAu4
Source: Alexandria via LeMat-Bulk
Functional: GGA-PBE
Structure: optimized geometry

abc: 5.907 5.907 5.907
angles: 60.00 60.00 60.00
Sites, in units of the cell vectors:
Au (0.626, 0.626, 0.123)
Au (0.123, 0.626, 0.626)
Au (0.626, 0.626, 0.626)
Au (0.626, 0.123, 0.626)
Ac (0.250, 0.250, 0.250)
Sr (0.000, 0.000, 0.000)

Calculated values
Uncorrected energy, eV/atom: -3.694
D(E_F), states/eV per atom: 1.302
DFT formation energy, eV per formula unit: -3.3
Energy above the most stable polymorph in this dataset, eV per atom: 0.276

=====

Compound: ZrRh2
Source: Alexandria via LeMat-Bulk
Functional: GGA-PBE
Structure: optimized geometry

abc: 4.371 4.371 3.112
angles: 90.00 90.00 120.00
Sites, in units of the cell vectors:
Rh (0.667, 0.333, 0.000)
Rh (0.333, 0.667, 0.000)
Zr (0.000, 0.000, 0.500)

Calculated values
Uncorrected energy, eV/atom: -8.191
D(E_F), states/eV per atom: 0.944
DFT formation energy, eV per formula unit: -1.3

=====

Compound: Si2TcNi2
Source: Alexandria via LeMat-Bulk
Functional: GGA-PBE
Structure: optimized geometry

abc: 6.716 6.716 2.658
angles: 90.00 90.00 90.00
Sites, in units of the cell vectors:
Si (0.346, 0.846, 0.000)
Si (0.654, 0.154, 0.000)
Si (0.846, 0.654, 0.000)
Si (0.154, 0.346, 0.000)
Ni (0.361, 0.139, 0.500)
Ni (0.861, 0.361, 0.500)
Ni (0.139, 0.639, 0.500)
Ni (0.639, 0.861, 0.500)
Tc (0.000, 0.000, 0.000)
Tc (0.500, 0.500, 0.000)

Calculated values
Uncorrected energy, eV/atom: -6.970
Formation energy (no corrections), eV per atom: -0.415
D(E_F), states/eV per atom: 0.576
Energy above the most stable polymorph in this dataset, eV per atom: 0.000

=====

Compound: LiTiGa
Source: Alexandria via LeMat-Bulk
Functional: GGA-PBE
Structure: optimized geometry

abc: 3.964 8.446 2.892
angles: 90.00 90.00 90.00
Sites, in units of the cell vectors:
Ti (0.500, 0.912, 0.500)
Ti (0.000, 0.088, 0.000)
Li (0.500, 0.582, 0.500)
Li (0.000, 0.418, 0.000)
Ga (0.500, 0.246, 0.500)
Ga (0.000, 0.754, 0.000)

Calculated values
Uncorrected energy, eV/atom: -4.544
D(E_F), states/eV per atom: 0.841
DFT formation energy, eV per formula unit: -0.8
Energy above the most stable polymorph in this dataset, eV per atom: 0.019

=====

Compound: Rb3Pr2ErS6
Source: Alexandria via LeMat-Bulk
Functional: GGA-PBE
Structure: optimized geometry

abc: 7.254 7.254 8.086
angles: 98.61 98.61 120.00
Sites, in units of the cell vectors:
Pr (0.333, 0.667, 0.000)
Pr (0.667, 0.333, 0.000)
S (0.614, 0.935, 0.805)
S (0.744, 0.744, 0.196)
S (0.065, 0.386, 0.195)
S (0.256, 0.256, 0.804)
S (0.935, 0.614, 0.805)
S (0.386, 0.065, 0.195)
Er (0.000, 0.000, 0.000)
Rb (0.832, 0.168, 0.500)
Rb (0.168, 0.832, 0.500)
Rb (0.500, 0.500, 0.500)

Calculated values
Uncorrected energy, eV/atom: -5.306
Formation energy (no corrections), eV per atom: -1.824
D(E_F), states/eV per atom: 0.000

=====

Compound: Ba4Nb2Si
Source: Alexandria via LeMat-Bulk
Functional: GGA-PBE
Structure: optimized geometry

abc: 6.706 6.706 9.274
angles: 68.81 68.81 90.00
Sites, in units of the cell vectors:
Ba (0.000, 0.500, 0.000)
Ba (0.800, 0.800, 0.400)
Ba (0.200, 0.200, 0.600)
Ba (0.500, 0.000, 0.000)
Si (0.000, 0.000, 0.000)
Nb (0.432, 0.432, 0.136)
Nb (0.568, 0.568, 0.864)

Calculated values
Uncorrected energy, eV/atom: -3.998
Formation energy (no corrections), eV per atom: 0.753
D(E_F), states/eV per atom: 1.421

=====

Compound: MoP
Source: Alexandria via LeMat-Bulk
Functional: GGA-PBE
Structure: optimized geometry

abc: 3.089 3.089 8.007
angles: 90.00 90.00 120.00
Sites, in units of the cell vectors:
Mo (0.667, 0.333, 0.862)
Mo (0.333, 0.667, 0.138)
P (0.667, 0.333, 0.338)
P (0.333, 0.667, 0.662)

Calculated values
Uncorrected energy, eV/atom: -8.012
D(E_F), states/eV per atom: 1.188
DFT formation energy, eV per formula unit: 0.2

=====

Compound: KZnGa2Ir
Source: Alexandria via LeMat-Bulk
Functional: GGA-PBE
Structure: optimized geometry

abc: 4.837 4.837 5.014
angles: 90.00 90.00 90.00
Sites, in units of the cell vectors:
K (0.500, 0.500, 0.500)
Ir (0.000, 0.000, 0.000)
Zn (0.000, 0.000, 0.500)
Ga (0.000, 0.500, 0.000)
Ga (0.500, 0.000, 0.000)

Calculated values
Uncorrected energy, eV/atom: -3.784
D(E_F), states/eV per atom: 0.174
DFT formation energy, eV per formula unit: -1.6

=====

Compound: VAg2PCl
Source: Alexandria via LeMat-Bulk
Functional: GGA-PBE
Structure: optimized geometry

abc: 4.901 4.319 4.901
angles: 90.00 90.00 90.00
Sites, in units of the cell vectors:
V (0.000, 0.500, 0.000)
Ag (0.500, 0.000, 0.000)
Ag (0.000, 0.000, 0.500)
P (0.500, 0.500, 0.500)
Cl (0.000, 0.000, 0.000)

Calculated values
Uncorrected energy, eV/atom: -3.437
Formation energy (no corrections), eV per atom: 0.978
D(E_F), states/eV per atom: 1.435

=====

Compound: Na4ZnAu3
Source: Alexandria via LeMat-Bulk
Functional: GGA-PBE
Structure: optimized geometry

abc: 5.495 8.519 8.519
angles: 84.03 71.19 71.19
Sites, in units of the cell vectors:
Na (0.411, 0.312, 0.866)
Na (0.277, 0.134, 0.312)
Na (0.911, 0.866, 0.312)
Na (0.777, 0.312, 0.134)
Na (0.089, 0.134, 0.688)
Na (0.589, 0.688, 0.134)
Na (0.723, 0.866, 0.688)
Na (0.223, 0.688, 0.866)
Zn (0.750, 0.500, 0.500)
Zn (0.250, 0.500, 0.500)
Au (0.357, 0.786, 0.500)
Au (0.250, 0.000, 0.000)
Au (0.643, 0.214, 0.500)
Au (0.857, 0.500, 0.786)
Au (0.143, 0.500, 0.214)
Au (0.750, 0.000, 0.000)

Calculated values
Uncorrected energy, eV/atom: -2.344
D(E_F), states/eV per atom: 0.373
DFT formation energy, eV per formula unit: -2.4

=====

Compound: Pm8DyY4
Source: Alexandria via LeMat-Bulk
Functional: GGA-PBE
Structure: optimized geometry

abc: 11.164 11.164 7.885
angles: 90.00 135.06 120.00
Sites, in units of the cell vectors:
Y (0.500, 0.500, 0.000)
Y (0.000, 0.500, 0.000)
Y (0.000, 0.000, 0.000)
Y (0.500, 0.000, 0.000)
Pm (0.519, 0.759, 0.761)
Pm (0.481, 0.241, 0.239)
Pm (0.481, 0.241, 0.722)
Pm (0.001, 0.759, 0.761)
Pm (0.999, 0.758, 0.239)
Pm (0.519, 0.759, 0.278)
Pm (0.999, 0.241, 0.239)
Pm (0.001, 0.242, 0.761)
Dy (0.000, 0.500, 0.500)

Calculated values
Uncorrected energy, eV/atom: -4.776
D(E_F), states/eV per atom: 1.623
DFT formation energy, eV per formula unit: 6.4

=====

Compound: RePd
Source: Alexandria via LeMat-Bulk
Functional: GGA-PBE
Structure: optimized geometry

abc: 4.308 2.707 10.382
angles: 90.00 90.00 90.00
Sites, in units of the cell vectors:
Re (0.500, 0.500, 0.885)
Re (0.000, 0.500, 0.483)
Re (0.500, 0.000, 0.385)
Re (0.000, 0.000, 0.983)
Pd (0.500, 0.500, 0.138)
Pd (0.000, 0.500, 0.741)
Pd (0.500, 0.000, 0.638)
Pd (0.000, 0.000, 0.241)

Calculated values
Uncorrected energy, eV/atom: -8.656
D(E_F), states/eV per atom: 0.815
DFT formation energy, eV per formula unit: 0.3
Energy above the most stable polymorph in this dataset, eV per atom: 0.101

=====

Compound: Sr2SiW
Source: Alexandria via LeMat-Bulk
Functional: GGA-PBE
Structure: optimized geometry

abc: 10.675 10.675 10.675
angles: 17.98 17.98 17.98
Sites, in units of the cell vectors:
Sr (0.998, 0.998, 0.998)
Sr (0.502, 0.502, 0.502)
Si (0.250, 0.250, 0.250)
W (0.750, 0.750, 0.750)

Calculated values
Uncorrected energy, eV/atom: -4.408
Formation energy (no corrections), eV per atom: 1.027
D(E_F), states/eV per atom: 1.119

=====

Compound: YCu3Mo
Source: Alexandria via LeMat-Bulk
Functional: GGA-PBE
Structure: optimized geometry

abc: 4.685 4.685 4.685
angles: 90.00 90.00 90.00
Sites, in units of the cell vectors:
Mo (0.500, 0.500, 0.500)
Cu (0.000, 0.000, 0.500)
Cu (0.500, 0.000, 0.000)
Cu (0.000, 0.500, 0.000)
Y (0.000, 0.000, 0.000)

Calculated values
Uncorrected energy, eV/atom: -4.108
D(E_F), states/eV per atom: 0.629
DFT formation energy, eV per formula unit: 9.0
Energy above the most stable polymorph in this dataset, eV per atom: 1.066

=====

Compound: Pm2InNi3
Source: Alexandria via LeMat-Bulk
Functional: GGA-PBE
Structure: optimized geometry

abc: 5.859 5.859 8.248
angles: 108.28 108.28 96.72
Sites, in units of the cell vectors:
In (0.335, 0.335, 0.670)
In (0.665, 0.665, 0.330)
Ni (0.322, 0.841, 0.163)
Ni (0.841, 0.322, 0.163)
Ni (0.678, 0.159, 0.837)
Ni (0.159, 0.678, 0.837)
Ni (0.842, 0.842, 0.683)
Ni (0.158, 0.158, 0.317)
Pm (0.235, 0.235, 0.000)
Pm (0.750, 0.250, 0.500)
Pm (0.765, 0.765, 0.000)
Pm (0.250, 0.750, 0.500)

Calculated values
Uncorrected energy, eV/atom: -5.202
D(E_F), states/eV per atom: 0.849
DFT formation energy, eV per formula unit: -1.6

=====

Compound: PmScAs2
Source: Alexandria via LeMat-Bulk
Functional: GGA-PBE
Structure: optimized geometry

abc: 5.002 5.002 5.002
angles: 60.00 60.00 60.00
Sites, in units of the cell vectors:
As (0.250, 0.250, 0.250)
As (0.750, 0.750, 0.750)
Pm (0.000, 0.000, 0.000)
Sc (0.500, 0.500, 0.500)

Calculated values
Uncorrected energy, eV/atom: -6.050
D(E_F), states/eV per atom: 0.646
DFT formation energy, eV per formula unit: -3.8
Energy above the most stable polymorph in this dataset, eV per atom: 0.471

=====

Compound: TlGeSN2
Source: Alexandria via LeMat-Bulk
Functional: GGA-PBE
Structure: optimized geometry

abc: 4.271 4.271 5.619
angles: 90.00 90.00 90.00
Sites, in units of the cell vectors:
Ge (0.500, 0.500, 0.500)
S (0.000, 0.000, 0.500)
N (0.500, 0.000, 0.000)
N (0.000, 0.500, 0.000)
Tl (0.000, 0.000, 0.000)

Calculated values
Uncorrected energy, eV/atom: -3.771
Formation energy (no corrections), eV per atom: 1.781
D(E_F), states/eV per atom: 0.462
Energy above the most stable polymorph in this dataset, eV per atom: 0.776

=====

Compound: Li6Ga2Sn3
Source: Alexandria via LeMat-Bulk
Functional: GGA-PBE
Structure: optimized geometry

abc: 4.776 4.776 10.846
angles: 102.72 102.72 90.00
Sites, in units of the cell vectors:
Sn (0.000, 0.000, 0.000)
Sn (0.169, 0.169, 0.338)
Sn (0.831, 0.831, 0.662)
Li (0.902, 0.402, 0.804)
Li (0.402, 0.902, 0.804)
Li (0.098, 0.598, 0.196)
Li (0.691, 0.691, 0.383)
Li (0.309, 0.309, 0.617)
Li (0.598, 0.098, 0.196)
Ga (0.441, 0.441, 0.882)
Ga (0.559, 0.559, 0.118)

Calculated values
Uncorrected energy, eV/atom: -2.762
D(E_F), states/eV per atom: 0.429
DFT formation energy, eV per formula unit: -0.8